The following is a DFT calculation (PBE) of Ho5Tm8Zr after structural relaxation.

a = 8.512 Å, b = 8.512 Å, c = 8.246 Å
α = 117.89°, β = 117.89°, γ = 59.77°
Fractional positions:
Ho1 0.000 0.000 0.000
Ho2 0.286 0.614 0.743
Ho3 0.386 0.714 0.257
Ho4 0.564 0.242 0.042
Ho5 0.758 0.436 0.958
Tm1 0.069 0.519 0.913
Tm2 0.206 0.058 0.670
Tm3 0.303 0.384 0.311
Tm4 0.481 0.931 0.087
Tm5 0.582 0.054 0.579
Tm6 0.616 0.697 0.689
Tm7 0.942 0.794 0.330
Tm8 0.946 0.418 0.421
Zr1 0.758 0.242 0.500

- Symmetry: C2, No. 5
- Volume: 434.7 Å³ per cell
- M_tot: 0.001 μB per atom
- N(E_F): 23.86 states/eV/f.u.
- Raw total energy: -4.5749 eV per atom
- Energy relative to the elements: 225.7 meV/atom